Record 1
Computed, not measured: a relaxed Li6AgO4 crystal at the PBE level of DFT.

SG: No. 186
DOS(E_F), states/eV/f.u.: 8.3
Formation energy without anion corrections, eV/atom: -1.30

a b c (Å): 7.0215 7.0215 5.4167
angles (deg): 90.00 90.00 120.00
Fractional positions:
Li  0.0961  0.5480  0.0000
Li  0.1307  0.2614  0.4025
Li  0.1307  0.8693  0.4025
Li  0.2614  0.1307  0.9025
Li  0.4520  0.5480  0.0000
Li  0.4520  0.9039  0.0000
Li  0.5480  0.0961  0.5000
Li  0.5480  0.4520  0.5000
Li  0.7386  0.8693  0.4025
Li  0.8693  0.1307  0.9025
Li  0.8693  0.7386  0.9025
Li  0.9039  0.4520  0.5000
Ag  0.3333  0.6667  0.5996
Ag  0.6667  0.3333  0.0996
O  0.1691  0.3381  0.7959
O  0.1691  0.8309  0.7959
O  0.3333  0.6667  0.2206
O  0.3381  0.1691  0.2959
O  0.6619  0.8309  0.7959
O  0.6667  0.3333  0.7206
O  0.8309  0.1691  0.2959
O  0.8309  0.6619  0.2959

---

Record 2
Computed, not measured: a relaxed BaAl2F crystal at the PBE level of DFT.

SG: No. 141
DOS(E_F), states/eV/f.u.: 3.6
Formation energy without anion corrections, eV/atom: -0.66

a b c (Å): 9.2918 9.2918 9.2918
angles (deg): 148.11 148.11 45.73
Fractional positions:
Ba  0.3750  0.6250  0.7500
Ba  0.6250  0.3750  0.2500
Al  0.0000  0.0000  0.0000
Al  0.0000  0.0000  0.5000
Al  0.0000  0.5000  0.0000
Al  0.5000  0.0000  0.5000
F  0.1250  0.8750  0.2500
F  0.8750  0.1250  0.7500

---

Record 3
Computed, not measured: a relaxed K3Ag2PdCl6 crystal at the PBE level of DFT.

SG: No. 164
DOS(E_F), states/eV/f.u.: 1.9
Formation energy without anion corrections, eV/atom: -0.98

a b c (Å): 7.6333 7.6333 7.7345
angles (deg): 90.00 90.00 120.00
Fractional positions:
K  0.0000  0.0000  0.0000
K  0.3333  0.6667  0.6045
K  0.6667  0.3333  0.3955
Ag  0.3333  0.6667  0.1620
Ag  0.6667  0.3333  0.8380
Pd  0.0000  0.0000  0.5000
Cl  0.1591  0.3183  0.2960
Cl  0.1591  0.8409  0.2960
Cl  0.3183  0.1591  0.7040
Cl  0.6817  0.8409  0.2960
Cl  0.8409  0.1591  0.7040
Cl  0.8409  0.6817  0.7040

---

Record 4
Computed, not measured: a relaxed KLiMnH6 crystal at the PBE level of DFT.

SG: No. 187

a b c (Å): 4.8969 4.8969 5.0967
angles (deg): 90.00 90.00 120.00
Fractional positions:
K  0.0000  0.0000  0.0000
Li  0.3333  0.6667  0.5000
Mn  0.6667  0.3333  0.5000
H  0.5204  0.0408  0.2932
H  0.5204  0.0408  0.7068
H  0.5204  0.4796  0.2932
H  0.5204  0.4796  0.7068
H  0.9592  0.4796  0.2932
H  0.9592  0.4796  0.7068

---

Record 5
Computed, not measured: a relaxed AcEuZnGa crystal at the PBE level of DFT.

SG: No. 216
Formation energy from the elements, eV/atom: -0.37
DOS(E_F), states/eV/f.u.: 4.6

a b c (Å): 5.4434 5.4434 5.4434
angles (deg): 60.00 60.00 60.00
Fractional positions:
Ac  0.0000  0.0000  0.0000
Eu  0.5000  0.5000  0.5000
Zn  0.2500  0.2500  0.2500
Ga  0.7500  0.7500  0.7500

---

Record 6
Computed, not measured: a relaxed Li4IBrCl2 crystal at the PBE level of DFT.

SG: No. 31
DOS(E_F), states/eV/f.u.: 0.0
Formation energy without anion corrections, eV/atom: -1.59

a b c (Å): 8.2896 7.2417 6.6865
angles (deg): 90.00 90.00 90.00
Fractional positions:
Li  0.0000  0.1717  0.0000
Li  0.0000  0.7984  0.4602
Li  0.2375  0.6413  0.9327
Li  0.2625  0.3587  0.4327
Li  0.5000  0.2016  0.9602
Li  0.5000  0.8283  0.5000
Li  0.7375  0.3587  0.4327
Li  0.7625  0.6413  0.9327
I  0.0000  0.1664  0.5783
I  0.5000  0.8336  0.0783
Br  0.0000  0.8192  0.0767
Br  0.5000  0.1808  0.5767
Cl  0.2494  0.3383  0.0755
Cl  0.2506  0.6617  0.5755
Cl  0.7494  0.6617  0.5755
Cl  0.7506  0.3383  0.0755

---

Number 1: final energy -4.405 eV per atom. Number 2: final energy -3.485 eV per atom. Number 3: final energy -3.085 eV per atom. Number 4: final energy -3.684 eV per atom. Number 5: final energy -5.043 eV per atom. Number 6: final energy -3.416 eV per atom.